Here is Be3GaNi after structural relaxation from Alexandria. Energies are from PBE-GGA.

Cell lengths 4.0021, 4.0021, 4.0021 Å; angles 90.00, 90.00, 90.00 degrees
Last column: nearest neighbours and their distance in Å.
Atoms (fractional coordinates):
Be 0.0000 0.0000 0.5000  2 Ni 2.00
Be 0.0000 0.5000 0.0000  2 Ni 2.00
Be 0.5000 0.0000 0.0000  2 Ni 2.00
Ga 0.5000 0.5000 0.5000  12 Be 2.83
Ni 0.0000 0.0000 0.0000  6 Be 2.00

Summary:
**Symmetry**: Pm-3m (221)
**Formation energy**: 0.40 eV per atom
**Relative energy among the computed polymorphs**: 0.000 eV per atom

***

Here is CuIr3 after structural relaxation from Alexandria. Energies are from PBE-GGA.

Cell lengths 5.0455, 5.0455, 5.0455 Å; angles 116.89, 116.89, 116.89 degrees
Last column: nearest neighbours and their distance in Å.
Atoms (fractional coordinates):
Cu 0.0000 0.0000 0.0000  6 Ir 2.64, 2 Cu 2.70
Ir 0.0000 0.5000 0.5000  6 Ir 2.64-2.70, 2 Cu 2.64
Ir 0.5000 0.0000 0.5000  2 Cu 2.64, 6 Ir 2.64-2.70
Ir 0.5000 0.5000 0.0000  6 Ir 2.64-2.70, 2 Cu 2.64

Summary:
**Symmetry**: R-3m (166)
**Formation energy**: 0.43 eV per atom

***

Here is CsP2AuCl after structural relaxation from Alexandria. Energies are from PBE-GGA.

Cell lengths 4.7513, 4.7513, 7.5730 Å; angles 90.00, 90.00, 90.00 degrees
Last column: nearest neighbours and their distance in Å.
Atoms (fractional coordinates):
Cs 0.0000 0.0000 0.0000  4 Cl 3.36
P 0.0000 0.5000 0.5000  2 Au 2.38
P 0.5000 0.0000 0.5000  2 Au 2.38
Au 0.5000 0.5000 0.5000  4 P 2.38
Cl 0.5000 0.5000 0.0000  4 Cs 3.36

Summary:
**Uncorrected formation energy**: 60 meV per atom
**Symmetry**: P4/mmm (123)

***

Here is Na3AlS3 after structural relaxation from Alexandria. Energies are from PBE-GGA.

Cell lengths 7.1068, 12.6271, 8.8783 Å; angles 90.00, 127.28, 90.00 degrees
Last column: nearest neighbours and their distance in Å.
Atoms (fractional coordinates):
Na 0.1551 0.1191 0.4944  4 S 2.76-2.97
Na 0.1551 0.3809 0.9944  4 S 2.76-2.97
Na 0.2077 0.1083 0.9104  5 S 2.83-3.06
Na 0.2077 0.3917 0.4104  5 S 2.83-3.06
Na 0.2889 0.6887 0.5222  4 S 2.89-3.06
Na 0.2889 0.8113 0.0222  4 S 2.89-3.06
Na 0.7111 0.1887 0.9778  4 S 2.89-3.06
Na 0.7111 0.3113 0.4778  4 S 2.89-3.06
Na 0.7923 0.6083 0.5896  5 S 2.83-3.06
Na 0.7923 0.8917 0.0896  5 S 2.83-3.06
Na 0.8449 0.6191 0.0056  4 S 2.76-2.97
Na 0.8449 0.8809 0.5056  4 S 2.76-2.97
Al 0.4740 0.0761 0.3537  4 S 2.22-2.31
Al 0.4740 0.4239 0.8537  4 S 2.22-2.31
Al 0.5260 0.5761 0.1463  4 S 2.22-2.31
Al 0.5260 0.9239 0.6463  4 S 2.22-2.31
S 0.2190 0.2116 0.2270  1 Al 2.24
S 0.2190 0.2884 0.7270  1 Al 2.24
S 0.2940 0.5832 0.8199  2 Al 2.30-2.31
S 0.2940 0.9168 0.3199  2 Al 2.30-2.31
S 0.3163 0.5644 0.2552  1 Al 2.22
S 0.3163 0.9356 0.7552  1 Al 2.22
S 0.6837 0.0644 0.2448  1 Al 2.22
S 0.6837 0.4356 0.7448  1 Al 2.22
S 0.7060 0.0832 0.6801  2 Al 2.30-2.31
S 0.7060 0.4168 0.1801  2 Al 2.30-2.31
S 0.7810 0.7116 0.2730  1 Al 2.24
S 0.7810 0.7884 0.7730  1 Al 2.24

Summary:
**Uncorrected formation energy**: -1184 meV per atom
**Symmetry**: P2_1/c (14)
**Relative energy among the computed polymorphs**: 0.011 eV per atom

***

Here is Tb2PuTh3S6 after structural relaxation from Alexandria. Energies are from PBE-GGA.

Cell lengths 8.9799, 8.9799, 8.0148 Å; angles 104.76, 104.76, 25.52 degrees
Last column: nearest neighbours and their distance in Å.
Atoms (fractional coordinates):
Tb 0.1653 0.1653 0.3313  6 S 2.75-2.78
Tb 0.8347 0.8347 0.6687  6 S 2.75-2.78
Pu 0.5000 0.5000 0.0000  6 S 2.77-2.78
Th 0.1666 0.1666 0.8354  6 S 2.86-2.88
Th 0.5000 0.5000 0.5000  6 S 2.87-2.88
Th 0.8334 0.8334 0.1646  6 S 2.86-2.88
S 0.0026 0.0026 0.2431  1 Tb 2.75, 2 Pu 2.77, 3 Th 2.87
S 0.3299 0.3299 0.4232  3 Tb 2.78, 3 Th 2.88
S 0.3359 0.3359 0.9085  2 Tb 2.76, 1 Pu 2.78, 3 Th 2.86-2.87
S 0.6641 0.6641 0.0915  2 Tb 2.76, 1 Pu 2.78, 3 Th 2.86-2.87
S 0.6701 0.6701 0.5768  3 Tb 2.78, 3 Th 2.88
S 0.9974 0.9974 0.7569  1 Tb 2.75, 2 Pu 2.77, 3 Th 2.87

Summary:
**Uncorrected formation energy**: -1886 meV per atom
**Symmetry**: C2/m (12)

***

Here is Cs2SrClF6 after structural relaxation from Alexandria. Energies are from PBE-GGA.

Cell lengths 7.2421, 7.2421, 7.2421 Å; angles 128.25, 128.25, 76.22 degrees
Last column: nearest neighbours and their distance in Å.
Atoms (fractional coordinates):
Cs 0.2500 0.7500 0.5000  4 F 3.20
Cs 0.7500 0.2500 0.5000  4 F 3.20
Sr 0.0000 0.0000 0.0000  6 F 2.36-2.40
Cl 0.5000 0.5000 0.0000  4 F 2.07
F 0.2066 0.2066 0.0000  1 Sr 2.36
F 0.2685 0.2685 0.5369  1 Cl 2.07
F 0.2685 0.7315 0.0000  1 Cl 2.07
F 0.7315 0.2685 0.0000  1 Cl 2.07
F 0.7315 0.7315 0.4631  1 Cl 2.07
F 0.7934 0.7934 0.0000  1 Sr 2.36

Summary:
**Uncorrected formation energy**: -2275 meV per atom
**Symmetry**: I4/mmm (139)